Entry 1:
First-principles (PBE) data for a geometry-optimized Ac3SmP2N6 structure, as listed in the Alexandria database.

Computed properties:
formation energy (no corrections) = -1138 meV per atom

Lattice parameters (Å, degrees): 5.900 5.900 6.797 90.00 90.00 120.00
Element x y z (fractional)
Ac: 0.000 0.000 0.000
Ac: 0.333 0.667 0.656
Ac: 0.667 0.333 0.344
Sm: 0.000 0.000 0.500
P: 0.333 0.667 0.183
P: 0.667 0.333 0.817
N: 0.183 0.366 0.288
N: 0.183 0.817 0.288
N: 0.366 0.183 0.712
N: 0.634 0.817 0.288
N: 0.817 0.183 0.712
N: 0.817 0.634 0.712

Entry 2:
First-principles (PBE) data for a geometry-optimized PrGdMgZn structure, as listed in the Alexandria database.

Computed properties:
formation enthalpy at 0 K = -0.19 eV/atom

Lattice parameters (Å, degrees): 7.510 7.510 7.510 90.00 90.00 90.00
Element x y z (fractional)
Pr: 0.000 0.000 0.000
Pr: 0.000 0.500 0.500
Pr: 0.500 0.000 0.500
Pr: 0.500 0.500 0.000
Gd: 0.000 0.000 0.500
Gd: 0.000 0.500 0.000
Gd: 0.500 0.000 0.000
Gd: 0.500 0.500 0.500
Mg: 0.250 0.250 0.250
Mg: 0.250 0.750 0.750
Mg: 0.750 0.250 0.750
Mg: 0.750 0.750 0.250
Zn: 0.250 0.250 0.750
Zn: 0.250 0.750 0.250
Zn: 0.750 0.250 0.250
Zn: 0.750 0.750 0.750

Entry 3:
First-principles (PBE) data for a geometry-optimized DyY4Ga2 structure, as listed in the Alexandria database.

Computed properties:
formation enthalpy at 0 K = -0.12 eV/atom

Lattice parameters (Å, degrees): 10.376 10.376 10.376 27.54 27.54 27.54
Element x y z (fractional)
Dy: 0.000 0.000 0.000
Y: 0.202 0.202 0.202
Y: 0.397 0.397 0.397
Y: 0.603 0.603 0.603
Y: 0.798 0.798 0.798
Ga: 0.100 0.100 0.100
Ga: 0.900 0.900 0.900